A relaxed PmP3 crystal, computed with PBE.

Cell lengths 4.0036, 5.0103, 5.4563 Å; angles 117.33, 111.52, 90.00 degrees
Element x y z (fractional)
Pm (0.0000, 0.0453, 0.0000)
P (0.3074, 0.6006, 0.6148)
P (0.6926, 0.9858, 0.3852)
P (0.5000, 0.5350, 0.0000)

Summary:
For the relative energy among the computed polymorphs, the calculation gives 0.0 kJ/mol of atoms. As for the space-group type: Imm2, No. 44. For the formation energy, the calculation gives -569 meV/atom. The total moment comes out at 0.00 μB/cell. As for the crystal system: orthorhombic.